No. 1
Here is crystalline Sc2AlHBr at its relaxed geometry from Alexandria via LeMat-Bulk. Energies are from GGA-PBE.

Cell: 5.2216 5.2216 3.5463 Å, 90.00 90.00 90.00°
Closest atoms and distances in Å follow each position.
Space group P4/mmm (No. 123)
One atom of each set of equivalent atoms:
1 Sc 0.0000 0.5000 0.0000 x2  2 Br 2.61
2 Al 0.0000 0.0000 0.5000 x1  8 Sc 3.16
3 H 0.5000 0.5000 0.5000 x1  2 Br 1.77
4 Br 0.5000 0.5000 0.0000 x1  2 H 1.77

Computed properties:
E ... -4.184 eV per atom



No. 2
Here is crystalline HfAl2Br at its relaxed geometry from Alexandria via LeMat-Bulk. Energies are from GGA-PBE.

Cell: 7.0253 7.0253 7.0253 Å, 90.00 90.00 90.00°
Closest atoms and distances in Å follow each position.
Space group Fm-3m (No. 225)
One atom of each set of equivalent atoms:
1 Hf 0.0000 0.0000 0.0000 x4  8 Al 3.04
2 Al 0.2500 0.2500 0.2500 x8  4 Hf 3.04, 4 Br 3.04
3 Br 0.0000 0.0000 0.5000 x4  8 Al 3.04

Computed properties:
Excess energy over the best structure of this formula in the dataset ... 110.6 meV/atom
E ... -4.294 eV per atom
Uncorrected formation energy ... 0.484 eV/atom



No. 3
Here is crystalline HfAlBr2 at its relaxed geometry from Alexandria via LeMat-Bulk. Energies are from GGA-PBE.

Cell: 9.3450 9.3450 5.6328 Å, 90.00 90.00 90.00°
Closest atoms and distances in Å follow each position.
Space group I-42d (No. 122)
One atom of each set of equivalent atoms:
1 Hf 0.0000 0.0000 0.0000 x4  4 Br 2.66, 2 Al 2.82
2 Al 0.0000 0.0000 0.5000 x4  2 Hf 2.82
3 Br 0.1138 0.7500 0.1250 x8  2 Hf 2.66

Computed properties:
Excess energy over the best structure of this formula in the dataset ... 299.5 meV/atom
E ... -4.380 eV per atom
Uncorrected formation energy ... -0.119 eV/atom



No. 4
Here is crystalline HfAlBr2 at its relaxed geometry from Alexandria via LeMat-Bulk. Energies are from GGA-PBE.

Cell: 6.9328 6.9328 6.9328 Å, 90.00 90.00 90.00°
Closest atoms and distances in Å follow each position.
Space group Fm-3m (No. 225)
One atom of each set of equivalent atoms:
1 Hf 0.0000 0.0000 0.0000 x4  8 Br 3.00
2 Al 0.0000 0.0000 0.5000 x4  8 Br 3.00
3 Br 0.2500 0.2500 0.2500 x8  4 Hf 3.00, 4 Al 3.00

Computed properties:
Excess energy over the best structure of this formula in the dataset ... 561.8 meV/atom
E ... -4.118 eV per atom
Uncorrected formation energy ... 0.143 eV/atom



No. 5
Here is crystalline HfAlBr2 at its relaxed geometry from Alexandria via LeMat-Bulk. Energies are from GGA-PBE.

Cell: 3.3515 3.3515 30.4450 Å, 90.00 90.00 120.00°
Closest atoms and distances in Å follow each position.
Space group R-3m (No. 166, hexagonal axes)
One atom of each set of equivalent atoms:
1 Hf 0.0000 0.0000 0.0000 x3  6 Br 2.76
2 Al 0.0000 0.0000 0.5000 x3  2 Br 3.10, 6 Al 3.35
3 Br 0.0000 0.0000 0.3982 x6  3 Hf 2.76

Computed properties:
Excess energy over the best structure of this formula in the dataset ... 0.0 meV/atom
E ... -4.679 eV per atom
Uncorrected formation energy ... -0.419 eV/atom



No. 6
Here is crystalline HfAl2Br at its relaxed geometry from Alexandria via LeMat-Bulk. Energies are from GGA-PBE.

Cell: 7.9752 7.9752 5.5020 Å, 90.00 90.00 90.00°
Closest atoms and distances in Å follow each position.
Space group I-42d (No. 122)
One atom of each set of equivalent atoms:
1 Hf 0.0000 0.0000 0.0000 x4  2 Br 2.75, 4 Al 2.85
2 Al 0.2406 0.7500 0.1250 x8  2 Al 2.76, 2 Hf 2.85, 2 Br 2.95
3 Br 0.0000 0.0000 0.5000 x4  2 Hf 2.75, 4 Al 2.95

Computed properties:
Excess energy over the best structure of this formula in the dataset ... 0.0 meV/atom
E ... -4.404 eV per atom
Uncorrected formation energy ... 0.373 eV/atom



Among the records above, which one has the highest E?
number 4